Density functional theory data (GGA+U) for crystalline K2Li2MnF6 at its relaxed geometry.

Calculated values
The total DFT energy (no corrections) comes out at -55.11 eV per cell. As for the calculated volume: 171.6 Å³ per cell. As for the space group: R-3m, No. 166.

a b c (Å): 5.9678 5.9678 6.5436
angles (deg): 62.87 62.87 60.00
Last column: nearest neighbours and their distance in Å.
Sites, in units of the cell vectors:
K (0.2125, 0.2125, 0.3626)  9 F 2.76-3.06
K (0.7875, 0.7875, 0.6374)  9 F 2.76-3.06
Mn (0.0000, 0.0000, 0.0000)  6 F 2.14
F (0.7584, 0.2419, 0.7577)  1 Li 1.78
F (0.2416, 0.7581, 0.2423)  1 Li 1.78
F (0.2419, 0.7584, 0.7577)  1 Li 1.78
F (0.7581, 0.2416, 0.2423)  1 Li 1.78
F (0.7581, 0.7581, 0.2423)  1 Li 1.78
F (0.2419, 0.2419, 0.7577)  1 Li 1.78
Li (0.4153, 0.4153, 0.7542)  3 F 1.78
Li (0.5847, 0.5847, 0.2458)  3 F 1.78